Entry 1:
# U2Ni2P3

U2Ni2P3 after structural relaxation (PBE, the Alexandria database).

abc: 8.491 8.491 7.097
angles: 90.00 90.00 154.28
Fractional positions:
U 0.049 0.951 0.750
U 0.144 0.856 0.250
U 0.856 0.144 0.750
U 0.951 0.049 0.250
Ni 0.298 0.702 0.066
Ni 0.298 0.702 0.434
Ni 0.702 0.298 0.566
Ni 0.702 0.298 0.934
P 0.225 0.775 0.750
P 0.430 0.570 0.530
P 0.430 0.570 0.970
P 0.570 0.430 0.030
P 0.570 0.430 0.470
P 0.775 0.225 0.250

Crystal system: orthorhombic
Magnetic moment in μB per formula unit: 3.166
Space group: Cmcm
ΔE to the lowest computed polymorph in meV/atom: 0
E_form in eV/atom: -0.728
N(E_F) in states/eV/f.u.: 10.99

=====

Entry 2:
# U2Ni5P3

U2Ni5P3 after structural relaxation (PBE, the Alexandria database).

abc: 11.033 11.033 6.723
angles: 90.00 90.00 159.77
Fractional positions:
U 0.003 0.997 0.500
U 0.338 0.662 0.016
U 0.662 0.338 0.516
U 0.997 0.003 0.000
Ni 0.113 0.887 0.223
Ni 0.206 0.794 0.877
Ni 0.226 0.774 0.260
Ni 0.367 0.633 0.493
Ni 0.452 0.548 0.239
Ni 0.548 0.452 0.739
Ni 0.633 0.367 0.993
Ni 0.774 0.226 0.760
Ni 0.794 0.206 0.377
Ni 0.887 0.113 0.723
P 0.108 0.892 0.779
P 0.264 0.736 0.572
P 0.439 0.561 0.751
P 0.561 0.439 0.251
P 0.736 0.264 0.072
P 0.892 0.108 0.279

Crystal system: orthorhombic
Magnetic moment in μB per formula unit: 3.652
Space group: Cmc2_1
E_form in eV/atom: -0.612
N(E_F) in states/eV/f.u.: 15.13

=====

Entry 3:
# U2Ni2P3

U2Ni2P3 after structural relaxation (PBE, the Alexandria database).

abc: 5.748 7.277 6.507
angles: 90.00 117.71 90.00
Fractional positions:
U 0.185 0.192 0.400
U 0.185 0.308 0.900
U 0.815 0.692 0.100
U 0.815 0.808 0.600
Ni 0.379 0.619 0.571
Ni 0.379 0.881 0.071
Ni 0.621 0.119 0.929
Ni 0.621 0.381 0.429
P 0.000 0.000 0.000
P 0.000 0.500 0.500
P 0.349 0.601 0.202
P 0.349 0.899 0.702
P 0.651 0.101 0.298
P 0.651 0.399 0.798

Crystal system: monoclinic
Magnetic moment in μB per formula unit: 3.863
Space group: P2_1/c
ΔE to the lowest computed polymorph in meV/atom: 80
E_form in eV/atom: -0.648
N(E_F) in states/eV/f.u.: 10.91

=====

Entry 4:
# UNiP2

UNiP2 after structural relaxation (PBE, the Alexandria database).

abc: 5.613 5.613 5.613
angles: 39.82 39.82 39.82
Fractional positions:
U 0.000 0.000 0.000
Ni 0.500 0.500 0.500
P 0.233 0.233 0.233
P 0.767 0.767 0.767

Crystal system: trigonal
Magnetic moment in μB per formula unit: 1.692
Space group: R-3m
E_form in eV/atom: -0.560
N(E_F) in states/eV/f.u.: 5.18